No. 1
VASP calculation (PBE) on an optimized crystal structure of PaZn3.

As for the total energy: -3.225 eV per atom.

Cell lengths 3.0353, 4.4255, 5.6967 Å; angles 90.00, 90.00, 90.00 degrees
Positions (direct):
Pa1 0.0000 0.0000 0.0000
Zn1 0.0000 0.5000 0.6156
Zn2 0.5000 0.0000 0.5056
Zn3 0.5000 0.5000 0.2229

***

No. 2
VASP calculation (PBE) on an optimized crystal structure of Pa2Zn17.

As for the total energy: -2.253 eV per atom.

Cell lengths 6.7852, 6.7852, 6.7852 Å; angles 82.74, 82.74, 82.74 degrees
Positions (direct):
Pa1 0.1616 0.1616 0.1616
Pa2 0.8384 0.8384 0.8384
Zn1 0.0000 0.5000 0.5000
Zn2 0.1462 0.1462 0.6601
Zn3 0.1462 0.6601 0.1462
Zn4 0.2034 0.5000 0.7966
Zn5 0.2034 0.7966 0.5000
Zn6 0.3399 0.8538 0.8538
Zn7 0.3988 0.3988 0.3988
Zn8 0.5000 0.0000 0.5000
Zn9 0.5000 0.2034 0.7966
Zn10 0.5000 0.5000 0.0000
Zn11 0.5000 0.7966 0.2034
Zn12 0.6012 0.6012 0.6012
Zn13 0.6601 0.1462 0.1462
Zn14 0.7966 0.2034 0.5000
Zn15 0.7966 0.5000 0.2034
Zn16 0.8538 0.3399 0.8538
Zn17 0.8538 0.8538 0.3399

***

No. 3
VASP calculation (PBE) on an optimized crystal structure of PaZn4.

As for the total energy: -1.572 eV per atom. The polymorph energy (0 for the lowest one) is 1.339 eV per atom.

Cell lengths 5.7176, 5.7176, 5.7176 Å; angles 90.00, 90.00, 90.00 degrees
Positions (direct):
Pa1 0.0000 0.0000 0.0000
Zn1 0.0000 0.0000 0.5000
Zn2 0.0000 0.5000 0.0000
Zn3 0.5000 0.0000 0.0000
Zn4 0.5000 0.5000 0.5000

***

Values of energy relative to the elements, in order: 0.105, -0.114, 1.347, all in eV per atom.